# VCdSe2F | the Alexandria database | PBE+U | relaxed
data_VCdSe2F
_chemical_formula_sum 'V1 Cd1 Se2 F1'
_space_group_name_H-M_alt 'P 4/m m m'
_space_group_IT_number 123
_space_group_name_Hall '-P 4 2'
_cell_length_a 4.997
_cell_length_b 4.997
_cell_length_c 5.927
_cell_angle_alpha 90.00
_cell_angle_beta 90.00
_cell_angle_gamma 90.00
loop_
_atom_site_label
_atom_site_type_symbol
_atom_site_fract_x
_atom_site_fract_y
_atom_site_fract_z
V1 V 0.000 0.000 0.000
Cd1 Cd 0.000 0.000 0.500
Se1 Se 0.000 0.500 0.500
F1 F 0.500 0.500 0.000
# - Size of the total moment: 3.38 μB per cell
# - Total DFT energy (no corrections): -14.6 eV per cell